[1]
An optimized crystal structure of Tm6Cd2Co. Source: Alexandria via LeMat-Bulk, functional PBE.

a = 3.598 Å, b = 8.601 Å, c = 8.601 Å
α = 119.60°, β = 90.00°, γ = 90.00°
Fractional positions:
1 Tm 0.000 0.000 0.000
2 Tm 0.000 0.530 0.762
3 Tm 0.000 0.762 0.530
4 Tm 0.500 0.157 0.762
5 Tm 0.500 0.366 0.366
6 Tm 0.500 0.762 0.157
7 Cd 0.000 0.095 0.429
8 Cd 0.000 0.429 0.095
9 Co 0.500 0.770 0.770

Properties
* ΔE_f: -0.188 eV/atom
* VASP energy: -4.162 eV per atom
* energy above the most stable polymorph in this dataset: 0.0 kJ per mole of atoms

=====

[2]
An optimized crystal structure of Tm4Cd5Co2. Source: Alexandria via LeMat-Bulk, functional PBE.

a = 7.587 Å, b = 3.533 Å, c = 9.253 Å
α = 90.00°, β = 94.57°, γ = 90.00°
Fractional positions:
1 Tm 0.170 0.000 0.336
2 Tm 0.208 0.000 0.943
3 Tm 0.792 0.000 0.057
4 Tm 0.830 0.000 0.664
5 Cd 0.176 0.500 0.647
6 Cd 0.451 0.500 0.168
7 Cd 0.500 0.500 0.500
8 Cd 0.549 0.500 0.832
9 Cd 0.824 0.500 0.353
10 Co 0.069 0.500 0.133
11 Co 0.931 0.500 0.867

Properties
* ΔE_f: -0.281 eV/atom
* VASP energy: -3.615 eV per atom

=====

[3]
An optimized crystal structure of Tm2CdCo. Source: Alexandria via LeMat-Bulk, functional PBE.

a = 4.959 Å, b = 4.959 Å, c = 4.959 Å
α = 60.00°, β = 60.00°, γ = 60.00°
Fractional positions:
1 Tm 0.250 0.250 0.250
2 Tm 0.750 0.750 0.750
3 Cd 0.000 0.000 0.000
4 Co 0.500 0.500 0.500

Properties
* ΔE_f: -0.171 eV/atom
* VASP energy: -4.412 eV per atom
* energy above the most stable polymorph in this dataset: 12.2 kJ per mole of atoms

=====

[4]
An optimized crystal structure of Tm8CdCo2. Source: Alexandria via LeMat-Bulk, functional PBE.

a = 7.717 Å, b = 7.717 Å, c = 5.271 Å
α = 97.28°, β = 97.28°, γ = 113.24°
Fractional positions:
1 Tm 0.115 0.115 0.801
2 Tm 0.169 0.434 0.423
3 Tm 0.250 0.750 0.000
4 Tm 0.434 0.169 0.423
5 Tm 0.566 0.831 0.577
6 Tm 0.750 0.250 0.000
7 Tm 0.831 0.566 0.577
8 Tm 0.885 0.885 0.199
9 Cd 0.500 0.500 0.000
10 Co 0.190 0.810 0.500
11 Co 0.810 0.190 0.500

Properties
* ΔE_f: -0.112 eV/atom
* VASP energy: -4.739 eV per atom

=====

Q: Number 3 is which compound?
A: Tm2CdCo

=====

Q: Which of these has the highest ΔE_f?
A: Tm8CdCo2

=====

Q: Number 4 is which compound?
A: Tm8CdCo2

=====

Repeat the first record exactly.
An optimized crystal structure of Tm6Cd2Co. Source: Alexandria via LeMat-Bulk, functional PBE.

a = 3.598 Å, b = 8.601 Å, c = 8.601 Å
α = 119.60°, β = 90.00°, γ = 90.00°
Fractional positions:
1 Tm 0.000 0.000 0.000
2 Tm 0.000 0.530 0.762
3 Tm 0.000 0.762 0.530
4 Tm 0.500 0.157 0.762
5 Tm 0.500 0.366 0.366
6 Tm 0.500 0.762 0.157
7 Cd 0.000 0.095 0.429
8 Cd 0.000 0.429 0.095
9 Co 0.500 0.770 0.770

Properties
* ΔE_f: -0.188 eV/atom
* VASP energy: -4.162 eV per atom
* energy above the most stable polymorph in this dataset: 0.0 kJ per mole of atoms